First-principles (meta-GGA SCAN) data for In2AgS3Br at its PBEsol-relaxed geometry, as listed in Alexandria via LeMat-Bulk.

abc: 7.6547 7.6547 7.6547
angles: 60.92 60.92 60.92
Sites, in units of the cell vectors:
In: 0.0000 0.0000 0.0000
In: 0.0000 0.0000 0.5000
In: 0.0000 0.5000 0.0000
In: 0.5000 0.0000 0.0000
Ag: 0.4197 0.4197 0.4197
Ag: 0.5803 0.5803 0.5803
S: 0.2119 0.7581 0.7581
S: 0.2419 0.2419 0.7881
S: 0.2419 0.7881 0.2419
S: 0.7581 0.2119 0.7581
S: 0.7581 0.7581 0.2119
S: 0.7881 0.2419 0.2419
Br: 0.2621 0.2621 0.2621
Br: 0.7379 0.7379 0.7379

Results
Uncorrected formation energy ... -0.64 eV per atom
E_tot ... -21.570 eV/atom
Magnetic moment ... 0.000 μB/atom
Space group ... R-3m, No. 166

***

First-principles (meta-GGA SCAN) data for Ba2FeCoB at its PBEsol-relaxed geometry, as listed in Alexandria via LeMat-Bulk.

abc: 5.6841 5.6841 3.8081
angles: 90.00 90.00 90.00
Sites, in units of the cell vectors:
Ba: 0.0000 0.5000 0.0000
Ba: 0.5000 0.0000 0.0000
Fe: 0.0000 0.0000 0.5000
Co: 0.5000 0.5000 0.0000
B: 0.5000 0.5000 0.5000

Results
E_tot ... -23.652 eV/atom
E_form ... 0.74 eV per atom
Magnetic moment ... 0.650 μB/atom
Space group ... P4/mmm, No. 123

***

First-principles (meta-GGA SCAN) data for Li2CoRh at its PBEsol-relaxed geometry, as listed in Alexandria via LeMat-Bulk.

abc: 3.0874 3.0874 4.9318
angles: 90.00 90.00 90.00
Sites, in units of the cell vectors:
Li: 0.0000 0.0000 0.2495
Li: 0.0000 0.0000 0.7505
Co: 0.5000 0.5000 0.0000
Rh: 0.5000 0.5000 0.5000

Results
Polymorph energy (0 for the lowest one) ... 0.255 eV per atom
E_tot ... -13.799 eV/atom
E_form ... 0.16 eV per atom
Magnetic moment ... 0.615 μB/atom
Space group ... P4/mmm, No. 123